Computed, not measured: a geometry-optimized MgSc2Ta structure at the PBE level of DFT.

Total magnetization: 0.00 μB/cell
Space-group type: I-4m2
E_form: 224.7 meV per atom
Total DFT energy (no corrections): -6.303 eV/atom
Crystal system: tetragonal

Unit cell a=5.4467 b=5.4467 c=5.4467 alpha=133.13 beta=133.13 gamma=68.45
With the nearest neighbours (Å) after each atom.
Fractional coordinates of all 4 atoms:
Mg1 0.0000 0.0000 0.0000  8 Sc 3.06-3.12, 4 Ta 3.12
Sc1 0.2500 0.7500 0.5000  4 Ta 3.06, 4 Mg 3.12, 4 Sc 3.12
Sc2 0.5000 0.5000 0.0000  4 Mg 3.06, 4 Ta 3.12, 4 Sc 3.12
Ta1 0.7500 0.2500 0.5000  8 Sc 3.06-3.12, 4 Mg 3.12

***

Computed, not measured: a geometry-optimized LiC2N3 structure at the PBE level of DFT.

Total magnetization: 0.00 μB/cell
Space-group type: P2/c
Formation energy without anion corrections: -0.087 eV/atom
Total DFT energy (no corrections): -7.643 eV/atom
Crystal system: monoclinic

Unit cell a=5.3837 b=5.3423 c=11.7104 alpha=90.00 beta=101.49 gamma=90.00
With the nearest neighbours (Å) after each atom.
Fractional coordinates of all 24 atoms:
Li1 0.0000 0.0000 0.0000  6 N 2.24-2.38
Li2 0.0000 0.0000 0.5000  6 N 2.24-2.38
Li3 0.0000 0.0903 0.2500  4 N 2.06-2.08
Li4 0.0000 0.9097 0.7500  4 N 2.06-2.08
C1 0.2462 0.4941 0.1167  2 N 1.18-1.30
C2 0.2462 0.5059 0.6167  2 N 1.18-1.30
C3 0.4502 0.2036 0.8890  2 N 1.18-1.30
C4 0.4502 0.7964 0.3890  2 N 1.18-1.30
C5 0.5498 0.2036 0.6110  2 N 1.18-1.30
C6 0.5498 0.7964 0.1110  2 N 1.18-1.30
C7 0.7538 0.4941 0.3833  2 N 1.18-1.30
C8 0.7538 0.5059 0.8833  2 N 1.18-1.30
N1 0.1571 0.2995 0.1344  1 C 1.18
N2 0.1571 0.7005 0.6344  1 C 1.18
N3 0.2484 0.1088 0.8762  1 C 1.18
N4 0.2484 0.8912 0.3762  1 C 1.18
N5 0.3181 0.2840 0.5919  2 C 1.30
N6 0.3181 0.7160 0.0919  2 C 1.30
N7 0.6819 0.2840 0.9081  2 C 1.30
N8 0.6819 0.7160 0.4081  2 C 1.30
N9 0.7516 0.1088 0.6238  1 C 1.18
N10 0.7516 0.8912 0.1238  1 C 1.18
N11 0.8429 0.2995 0.3656  1 C 1.18
N12 0.8429 0.7005 0.8656  1 C 1.18

***

Computed, not measured: a geometry-optimized Na3Mg structure at the PBE level of DFT.

Total magnetization: 0.00 μB/cell
Space-group type: C2/m
E_form: 65.8 meV per atom
Total DFT energy (no corrections): -1.322 eV/atom
Crystal system: monoclinic

Unit cell a=6.1650 b=6.1650 c=6.3017 alpha=97.60 beta=97.60 gamma=32.60
With the nearest neighbours (Å) after each atom.
Fractional coordinates of all 4 atoms:
Na1 0.0000 0.0000 0.0000  8 Na 3.46-3.68, 4 Mg 3.59
Na2 0.2441 0.2441 0.7378  9 Na 3.46-3.72, 3 Mg 3.52-3.56
Na3 0.7559 0.7559 0.2622  9 Na 3.46-3.72, 3 Mg 3.52-3.56
Mg1 0.5000 0.5000 0.5000  2 Mg 3.46, 10 Na 3.52-3.59

***

Computed, not measured: a geometry-optimized CoHRh2Pb structure at the PBE level of DFT.

Total magnetization: 1.64 μB/cell
Space-group type: P4/mmm
Total DFT energy (no corrections): -5.714 eV/atom
Crystal system: tetragonal

Unit cell a=4.0482 b=4.0482 c=3.9201 alpha=90.00 beta=90.00 gamma=90.00
With the nearest neighbours (Å) after each atom.
Fractional coordinates of all 5 atoms:
Co1 0.0000 0.0000 0.0000  2 H 1.96
H1 0.0000 0.0000 0.5000  2 Co 1.96, 4 Rh 2.02
Rh1 0.0000 0.5000 0.5000  2 H 2.02
Rh2 0.5000 0.0000 0.5000  2 H 2.02
Pb1 0.5000 0.5000 0.0000  8 Rh 2.82, 4 Co 2.86

***

Computed, not measured: a geometry-optimized NdZrGaCu structure at the PBE level of DFT.

Total magnetization: 0.52 μB/cell
Space-group type: F-43m
E_form: -227.8 meV per atom
Total DFT energy (no corrections): -5.338 eV/atom
Crystal system: cubic

Unit cell a=4.9344 b=4.9344 c=4.9344 alpha=60.00 beta=60.00 gamma=60.00
With the nearest neighbours (Å) after each atom.
Fractional coordinates of all 4 atoms:
Nd1 0.0000 0.0000 0.0000  4 Cu 3.02, 4 Ga 3.02
Zr1 0.5000 0.5000 0.5000  4 Cu 3.02, 4 Ga 3.02
Ga1 0.7500 0.7500 0.7500  4 Zr 3.02, 4 Nd 3.02
Cu1 0.2500 0.2500 0.2500  4 Zr 3.02, 4 Nd 3.02

***

Computed, not measured: a geometry-optimized Ca2AlRe structure at the PBE level of DFT.

Total magnetization: 0.81 μB/cell
Space-group type: I4/mmm
E_form: 543.4 meV per atom
Total DFT energy (no corrections): -4.505 eV/atom
Crystal system: tetragonal

Unit cell a=5.5354 b=5.5354 c=5.5354 alpha=134.12 beta=134.12 gamma=66.90
With the nearest neighbours (Å) after each atom.
Fractional coordinates of all 4 atoms:
Ca1 0.2500 0.7500 0.5000  4 Ca 3.05, 4 Re 3.16, 4 Al 3.16
Ca2 0.7500 0.2500 0.5000  4 Ca 3.05, 4 Re 3.16, 4 Al 3.16
Al1 0.0000 0.0000 0.0000  4 Re 3.05, 8 Ca 3.16
Re1 0.5000 0.5000 0.0000  4 Al 3.05, 8 Ca 3.16

***

Computed, not measured: a geometry-optimized NaMg3 structure at the PBE level of DFT.

Total magnetization: 0.00 μB/cell
Space-group type: Pnma
E_form: 78.1 meV per atom
Total DFT energy (no corrections): -1.448 eV/atom
Crystal system: orthorhombic

Unit cell a=5.5325 b=10.7011 c=6.8072 alpha=90.00 beta=90.00 gamma=90.00
With the nearest neighbours (Å) after each atom.
Fractional coordinates of all 16 atoms:
Na1 0.0987 0.2500 0.1295  2 Na 3.22, 10 Mg 3.26-3.44
Na2 0.4013 0.7500 0.6295  2 Na 3.22, 10 Mg 3.26-3.44
Na3 0.5987 0.2500 0.3705  2 Na 3.22, 10 Mg 3.26-3.44
Na4 0.9013 0.7500 0.8705  2 Na 3.22, 10 Mg 3.26-3.44
Mg1 0.0994 0.2500 0.6350  8 Mg 3.18-3.34, 4 Na 3.30-3.44
Mg2 0.2404 0.5051 0.3774  9 Mg 3.14-3.41, 3 Na 3.26-3.37
Mg3 0.2404 0.9949 0.3774  9 Mg 3.14-3.41, 3 Na 3.26-3.37
Mg4 0.2596 0.0051 0.8774  9 Mg 3.14-3.41, 3 Na 3.26-3.37
Mg5 0.2596 0.4949 0.8774  9 Mg 3.14-3.41, 3 Na 3.26-3.37
Mg6 0.4006 0.7500 0.1350  8 Mg 3.18-3.34, 4 Na 3.30-3.44
Mg7 0.5994 0.2500 0.8650  8 Mg 3.18-3.34, 4 Na 3.30-3.44
Mg8 0.7404 0.5051 0.1226  9 Mg 3.14-3.41, 3 Na 3.26-3.37
Mg9 0.7404 0.9949 0.1226  9 Mg 3.14-3.41, 3 Na 3.26-3.37
Mg10 0.7596 0.0051 0.6226  9 Mg 3.14-3.41, 3 Na 3.26-3.37
Mg11 0.7596 0.4949 0.6226  9 Mg 3.14-3.41, 3 Na 3.26-3.37
Mg12 0.9006 0.7500 0.3650  8 Mg 3.18-3.34, 4 Na 3.30-3.44

***

Computed, not measured: a geometry-optimized MgIn3Cu structure at the PBE level of DFT.

Distance to the lowest polymorph of the same formula: 0.972 eV per formula unit
Total magnetization: 0.00 μB/cell
Space-group type: Pm-3m
E_form: 175.1 meV per atom
Total DFT energy (no corrections): -2.606 eV/atom
Crystal system: cubic

Unit cell a=5.1140 b=5.1140 c=5.1140 alpha=90.00 beta=90.00 gamma=90.00
With the nearest neighbours (Å) after each atom.
Fractional coordinates of all 5 atoms:
Mg1 0.0000 0.0000 0.0000  12 In 3.62
In1 0.0000 0.5000 0.5000  2 Cu 2.56
In2 0.5000 0.0000 0.5000  2 Cu 2.56
In3 0.5000 0.5000 0.0000  2 Cu 2.56
Cu1 0.5000 0.5000 0.5000  6 In 2.56

***

Computed, not measured: a geometry-optimized TbGdCuTc structure at the PBE level of DFT.

Total magnetization: 7.02 μB/cell
Space-group type: F-43m
E_form: -64.6 meV per atom
Total DFT energy (no corrections): -8.358 eV/atom
Crystal system: cubic

Unit cell a=4.8990 b=4.8990 c=4.8990 alpha=60.00 beta=60.00 gamma=60.00
With the nearest neighbours (Å) after each atom.
Fractional coordinates of all 4 atoms:
Tb1 0.0000 0.0000 0.0000  4 Tc 3.00, 4 Cu 3.00
Gd1 0.5000 0.5000 0.5000  4 Tc 3.00, 4 Cu 3.00
Cu1 0.2500 0.2500 0.2500  4 Gd 3.00, 4 Tb 3.00
Tc1 0.7500 0.7500 0.7500  4 Gd 3.00, 4 Tb 3.00

***

Computed, not measured: a geometry-optimized CuOsIO2 structure at the PBE level of DFT.

Distance to the lowest polymorph of the same formula: 0.000 eV per formula unit
Total magnetization: 0.00 μB/cell
Space-group type: P4/mmm
Formation energy without anion corrections: -0.346 eV/atom
Total DFT energy (no corrections): -5.705 eV/atom
Crystal system: tetragonal

Unit cell a=3.7261 b=3.7261 c=8.6763 alpha=90.00 beta=90.00 gamma=90.00
With the nearest neighbours (Å) after each atom.
Fractional coordinates of all 5 atoms:
Cu1 0.0000 0.0000 0.0000  4 I 2.63
Os1 0.5000 0.5000 0.5000  4 O 1.86
I1 0.5000 0.5000 0.0000  4 Cu 2.63
O1 0.0000 0.5000 0.5000  2 Os 1.86
O2 0.5000 0.0000 0.5000  2 Os 1.86

***

Computed, not measured: a geometry-optimized AlFeTcNi2 structure at the PBE level of DFT.

Distance to the lowest polymorph of the same formula: 0.392 eV per formula unit
Total magnetization: 4.71 μB/cell
Space-group type: P4/mmm
E_form: 1061.5 meV per atom
Total DFT energy (no corrections): -5.765 eV/atom
Crystal system: tetragonal

Unit cell a=4.1496 b=4.1496 c=4.2994 alpha=90.00 beta=90.00 gamma=90.00
With the nearest neighbours (Å) after each atom.
Fractional coordinates of all 5 atoms:
Al1 0.0000 0.0000 0.0000  4 Ni 2.07, 2 Fe 2.15
Fe1 0.0000 0.0000 0.5000  2 Al 2.15
Tc1 0.5000 0.5000 0.5000  4 Fe 2.93, 8 Ni 2.99
Ni1 0.0000 0.5000 0.0000  2 Al 2.07
Ni2 0.5000 0.0000 0.0000  2 Al 2.07

***

Computed, not measured: a geometry-optimized Be17AlRu structure at the PBE level of DFT.

Total magnetization: 0.00 μB/cell
Space-group type: R3m
E_form: -65.4 meV per atom
Total DFT energy (no corrections): -4.085 eV/atom
Crystal system: trigonal

Unit cell a=5.5136 b=5.5136 c=5.5136 alpha=81.96 beta=81.96 gamma=81.96
With the nearest neighbours (Å) after each atom.
Fractional coordinates of all 19 atoms:
Be1 0.0051 0.4974 0.4974  9 Be 2.07-2.21
Be2 0.0582 0.0582 0.0582  7 Be 2.16-2.33
Be3 0.1561 0.1561 0.6585  10 Be 2.08-2.22
Be4 0.1561 0.6585 0.1561  10 Be 2.08-2.22
Be5 0.1596 0.4601 0.8490  8 Be 2.10-2.25
Be6 0.1596 0.8490 0.4601  8 Be 2.10-2.25
Be7 0.2577 0.2577 0.2577  7 Be 2.16-2.22
Be8 0.3274 0.8076 0.8076  8 Be 2.07-2.22
Be9 0.4601 0.1596 0.8490  8 Be 2.10-2.25
Be10 0.4601 0.8490 0.1596  8 Be 2.10-2.25
Be11 0.4974 0.0051 0.4974  9 Be 2.07-2.21
Be12 0.4974 0.4974 0.0051  9 Be 2.07-2.21
Be13 0.6585 0.1561 0.1561  10 Be 2.08-2.22
Be14 0.8076 0.3274 0.8076  8 Be 2.07-2.22
Be15 0.8076 0.8076 0.3274  8 Be 2.07-2.22
Be16 0.8490 0.1596 0.4601  8 Be 2.10-2.25
Be17 0.8490 0.4601 0.1596  8 Be 2.10-2.25
Al1 0.8151 0.8151 0.8151  19 Be 2.54-2.81
Ru1 0.4834 0.4834 0.4834  16 Be 2.44-2.72

***

> Which of these has the lowest total DFT energy (no corrections)?

TbGdCuTc